Here is a relaxed AlV2O6 crystal from Alexandria via LeMat-Bulk. Energies are from PBE+U.

Output
Its total DFT energy (no corrections) is -7.4081 eV per atom. The calculation puts the offset from the most stable computed form at 52 kJ/mol of formula units. The crystal system is monoclinic.

a b c (Å): 3.531 5.014 6.418
angles (deg): 66.54 74.03 69.38
Site moments in Bohr magnetons follow the coordinates.
Positions (direct):
Al  0.000  0.500  0.500  0.01
V  0.182  0.778  0.859  0.61
V  0.818  0.222  0.141  0.61
O  0.700  0.677  0.923  -0.07
O  0.300  0.323  0.077  -0.07
O  0.976  0.821  0.227  -0.03
O  0.359  0.681  0.601  -0.02
O  0.024  0.179  0.773  -0.03
O  0.641  0.319  0.399  -0.02